DFT (PBE) results for a relaxed CdPt2Br crystal.

Calculated values
energy above the most stable polymorph in this dataset: 286 meV per atom
final energy: -13.4 eV for the cell shown
spin magnetization: 0.0 μB per formula unit
symmetry: I4/mmm
raw formation energy: 0.315 eV per atom

a b c (Å): 5.243 5.243 5.243
angles (deg): 133.64 133.64 67.64
Positions (direct):
1 Cd 0.000 0.000 0.000
2 Pt 0.250 0.750 0.500
3 Pt 0.750 0.250 0.500
4 Br 0.500 0.500 0.000


DFT (PBE) results for a relaxed CdPtBr2 crystal.

Calculated values
energy above the most stable polymorph in this dataset: 550 meV per atom
final energy: -8.9 eV for the cell shown
spin magnetization: 0.0 μB per formula unit
symmetry: Fm-3m
raw formation energy: 0.344 eV per atom

a b c (Å): 4.988 4.988 4.988
angles (deg): 60.00 60.00 60.00
Positions (direct):
1 Cd 0.000 0.000 0.000
2 Pt 0.500 0.500 0.500
3 Br 0.250 0.250 0.250
4 Br 0.750 0.750 0.750


DFT (PBE) results for a relaxed CdPt4Br crystal.

Calculated values
final energy: -25.2 eV for the cell shown
spin magnetization: 0.0 μB per formula unit
symmetry: F-43m
raw formation energy: 0.254 eV per atom

a b c (Å): 5.410 5.410 5.410
angles (deg): 60.00 60.00 60.00
Positions (direct):
1 Cd 0.000 0.000 0.000
2 Pt 0.123 0.626 0.626
3 Pt 0.626 0.123 0.626
4 Pt 0.626 0.626 0.123
5 Pt 0.626 0.626 0.626
6 Br 0.250 0.250 0.250


DFT (PBE) results for a relaxed CdPtBr2 crystal.

Calculated values
energy above the most stable polymorph in this dataset: 111 meV per atom
final energy: -10.7 eV for the cell shown
spin magnetization: 0.8 μB per formula unit
symmetry: Cmmm
raw formation energy: -0.095 eV per atom

a b c (Å): 7.037 7.037 3.825
angles (deg): 90.00 90.00 134.38
Positions (direct):
1 Cd 0.000 0.000 0.000
2 Pt 0.500 0.500 0.000
3 Br 0.366 0.634 0.500
4 Br 0.634 0.366 0.500


DFT (PBE) results for a relaxed Cd2PtBr crystal.

Calculated values
energy above the most stable polymorph in this dataset: 277 meV per atom
final energy: -19.1 eV for the cell shown
spin magnetization: 0.0 μB per formula unit
symmetry: I-42d
raw formation energy: -0.008 eV per atom

a b c (Å): 8.773 8.773 8.773
angles (deg): 142.68 142.68 53.81
Positions (direct):
1 Cd 0.064 0.625 0.939
2 Cd 0.375 0.314 0.439
3 Cd 0.686 0.125 0.061
4 Cd 0.875 0.936 0.561
5 Pt 0.000 0.000 0.000
6 Pt 0.750 0.250 0.500
7 Br 0.250 0.750 0.500
8 Br 0.500 0.500 0.000


DFT (PBE) results for a relaxed Cd2PtBr crystal.

Calculated values
energy above the most stable polymorph in this dataset: 392 meV per atom
final energy: -9.1 eV for the cell shown
spin magnetization: 0.0 μB per formula unit
symmetry: Fm-3m
raw formation energy: 0.107 eV per atom

a b c (Å): 4.947 4.947 4.947
angles (deg): 60.00 60.00 60.00
Positions (direct):
1 Cd 0.250 0.250 0.250
2 Cd 0.750 0.750 0.750
3 Pt 0.000 0.000 0.000
4 Br 0.500 0.500 0.500


DFT (PBE) results for a relaxed CdPtBr2 crystal.

Calculated values
energy above the most stable polymorph in this dataset: 218 meV per atom
final energy: -10.3 eV for the cell shown
spin magnetization: 0.0 μB per formula unit
symmetry: Cmmm
raw formation energy: 0.012 eV per atom

a b c (Å): 4.202 4.202 9.664
angles (deg): 90.00 90.00 128.89
Positions (direct):
1 Cd 0.000 0.000 0.000
2 Pt 0.000 0.000 0.500
3 Br 0.500 0.500 0.327
4 Br 0.500 0.500 0.673


DFT (PBE) results for a relaxed CdPtBr2 crystal.

Calculated values
energy above the most stable polymorph in this dataset: 291 meV per atom
final energy: -10.0 eV for the cell shown
spin magnetization: 0.2 μB per formula unit
symmetry: R-3m
raw formation energy: 0.085 eV per atom

a b c (Å): 8.342 8.342 8.342
angles (deg): 28.75 28.75 28.75
Positions (direct):
1 Cd 0.000 0.000 0.000
2 Pt 0.500 0.500 0.500
3 Br 0.401 0.401 0.401
4 Br 0.599 0.599 0.599


DFT (PBE) results for a relaxed Cd2PtBr crystal.

Calculated values
energy above the most stable polymorph in this dataset: 150 meV per atom
final energy: -10.1 eV for the cell shown
spin magnetization: 0.0 μB per formula unit
symmetry: P4mm
raw formation energy: -0.135 eV per atom

a b c (Å): 3.829 3.829 7.315
angles (deg): 90.00 90.00 90.00
Positions (direct):
1 Cd 0.000 0.000 0.000
2 Cd 0.500 0.500 0.355
3 Pt 0.000 0.000 0.357
4 Br 0.500 0.500 0.829


DFT (PBE) results for a relaxed CdPtBr2 crystal.

Calculated values
energy above the most stable polymorph in this dataset: 144 meV per atom
final energy: -10.5 eV for the cell shown
spin magnetization: 0.0 μB per formula unit
symmetry: Imm2
raw formation energy: -0.061 eV per atom

a b c (Å): 7.897 7.897 7.897
angles (deg): 154.13 150.08 39.95
Positions (direct):
1 Cd 0.000 0.000 0.000
2 Pt 0.146 0.646 0.500
3 Br 0.412 0.412 0.000
4 Br 0.663 0.163 0.500


DFT (PBE) results for a relaxed CdPt2Br crystal.

Calculated values
energy above the most stable polymorph in this dataset: 183 meV per atom
final energy: -13.8 eV for the cell shown
spin magnetization: 0.0 μB per formula unit
symmetry: R-3m
raw formation energy: 0.212 eV per atom

a b c (Å): 10.838 10.838 10.838
angles (deg): 15.41 15.41 15.41
Positions (direct):
1 Cd 0.000 0.000 0.000
2 Pt 0.263 0.263 0.263
3 Pt 0.737 0.737 0.737
4 Br 0.500 0.500 0.500


DFT (PBE) results for a relaxed Rb2CdPtBr6 crystal.

Calculated values
energy above the most stable polymorph in this dataset: 12 meV per atom
final energy: -56.4 eV for the cell shown
spin magnetization: 0.9 μB per formula unit
symmetry: R-3m
raw formation energy: -0.927 eV per atom

a b c (Å): 13.920 13.920 13.920
angles (deg): 31.86 31.86 31.86
Positions (direct):
1 Rb 0.120 0.120 0.120
2 Rb 0.299 0.299 0.299
3 Rb 0.701 0.701 0.701
4 Rb 0.880 0.880 0.880
5 Cd 0.415 0.415 0.415
6 Cd 0.585 0.585 0.585
7 Pt 0.000 0.000 0.000
8 Pt 0.500 0.500 0.500
9 Br 0.133 0.623 0.623
10 Br 0.201 0.201 0.714
11 Br 0.201 0.714 0.201
12 Br 0.286 0.799 0.799
13 Br 0.377 0.377 0.867
14 Br 0.377 0.867 0.377
15 Br 0.623 0.133 0.623
16 Br 0.623 0.623 0.133
17 Br 0.714 0.201 0.201
18 Br 0.799 0.286 0.799
19 Br 0.799 0.799 0.286
20 Br 0.867 0.377 0.377


DFT (PBE) results for a relaxed Rb2CdPtBr6 crystal.

Calculated values
energy above the most stable polymorph in this dataset: 0 meV per atom
final energy: -28.3 eV for the cell shown
spin magnetization: 0.0 μB per formula unit
symmetry: I4/mmm
raw formation energy: -0.938 eV per atom

a b c (Å): 7.714 7.714 7.714
angles (deg): 120.07 120.07 89.88
Positions (direct):
1 Rb 0.250 0.750 0.500
2 Rb 0.750 0.250 0.500
3 Cd 0.000 0.000 0.000
4 Pt 0.500 0.500 0.000
5 Br 0.259 0.259 0.517
6 Br 0.259 0.741 0.000
7 Br 0.264 0.264 0.000
8 Br 0.736 0.736 0.000
9 Br 0.741 0.259 0.000
10 Br 0.741 0.741 0.483


DFT (PBE) results for a relaxed CdRePtBr2 crystal.

Calculated values
final energy: -16.9 eV for the cell shown
spin magnetization: 0.0 μB per formula unit
symmetry: P4/mmm
raw formation energy: 1.169 eV per atom

a b c (Å): 4.751 4.751 5.736
angles (deg): 90.00 90.00 90.00
Positions (direct):
1 Cd 0.000 0.000 0.000
2 Re 0.000 0.000 0.500
3 Pt 0.500 0.500 0.000
4 Br 0.000 0.500 0.500
5 Br 0.500 0.000 0.500


DFT (PBE) results for a relaxed CdPt2RhBr crystal.

Calculated values
final energy: -14.4 eV for the cell shown
spin magnetization: 2.0 μB per formula unit
symmetry: P4/mmm
raw formation energy: 1.530 eV per atom

a b c (Å): 5.028 5.028 5.176
angles (deg): 90.00 90.00 90.00
Positions (direct):
1 Cd 0.000 0.000 0.000
2 Pt 0.000 0.500 0.000
3 Pt 0.500 0.000 0.000
4 Rh 0.500 0.500 0.500
5 Br 0.000 0.000 0.500


DFT (PBE) results for a relaxed CdRuPtBr2 crystal.

Calculated values
final energy: -13.5 eV for the cell shown
spin magnetization: 3.8 μB per formula unit
symmetry: P4/mmm
raw formation energy: 1.222 eV per atom

a b c (Å): 5.254 5.254 5.288
angles (deg): 90.00 90.00 90.00
Positions (direct):
1 Cd 0.000 0.000 0.000
2 Ru 0.500 0.500 0.500
3 Pt 0.000 0.000 0.500
4 Br 0.000 0.500 0.000
5 Br 0.500 0.000 0.000


DFT (PBE) results for a relaxed CdPtSeBr2 crystal.

Calculated values
energy above the most stable polymorph in this dataset: 0 meV per atom
final energy: -13.4 eV for the cell shown
spin magnetization: 0.0 μB per formula unit
symmetry: P4/mmm
raw formation energy: 0.073 eV per atom

a b c (Å): 5.166 5.166 5.022
angles (deg): 90.00 90.00 90.00
Positions (direct):
1 Cd 0.000 0.000 0.000
2 Pt 0.500 0.500 0.500
3 Se 0.500 0.500 0.000
4 Br 0.000 0.500 0.500
5 Br 0.500 0.000 0.500


DFT (PBE) results for a relaxed SrCdPt2Br crystal.

Calculated values
final energy: -11.3 eV for the cell shown
spin magnetization: 0.0 μB per formula unit
symmetry: P4/mmm
raw formation energy: 1.016 eV per atom

a b c (Å): 5.303 5.303 6.569
angles (deg): 90.00 90.00 90.00
Positions (direct):
1 Sr 0.000 0.000 0.000
2 Cd 0.000 0.000 0.500
3 Pt 0.000 0.500 0.000
4 Pt 0.500 0.000 0.000
5 Br 0.500 0.500 0.500


DFT (PBE) results for a relaxed Sr2CdPtBr crystal.

Calculated values
final energy: -11.3 eV for the cell shown
spin magnetization: 0.0 μB per formula unit
symmetry: P4/mmm
raw formation energy: 0.144 eV per atom

a b c (Å): 6.138 6.138 5.240
angles (deg): 90.00 90.00 90.00
Positions (direct):
1 Sr 0.000 0.500 0.000
2 Sr 0.500 0.000 0.000
3 Cd 0.000 0.000 0.000
4 Pt 0.500 0.500 0.500
5 Br 0.000 0.000 0.500


DFT (PBE) results for a relaxed TlCd2PtBr crystal.

Calculated values
final energy: -13.4 eV for the cell shown
spin magnetization: 0.0 μB per formula unit
symmetry: P4/mmm
raw formation energy: -0.293 eV per atom

a b c (Å): 5.298 5.298 5.341
angles (deg): 90.00 90.00 90.00
Positions (direct):
1 Tl 0.000 0.000 0.000
2 Cd 0.000 0.500 0.500
3 Cd 0.500 0.000 0.500
4 Pt 0.000 0.000 0.500
5 Br 0.500 0.500 0.000


DFT (PBE) results for a relaxed YCd2PtBr crystal.

Calculated values
final energy: -15.5 eV for the cell shown
spin magnetization: 0.0 μB per formula unit
symmetry: P4/mmm
raw formation energy: 0.092 eV per atom

a b c (Å): 5.175 5.175 5.257
angles (deg): 90.00 90.00 90.00
Positions (direct):
1 Y 0.000 0.000 0.000
2 Cd 0.000 0.500 0.500
3 Cd 0.500 0.000 0.500
4 Pt 0.500 0.500 0.500
5 Br 0.500 0.500 0.000


DFT (PBE) results for a relaxed PuCd2Br8 crystal.

Calculated values
final energy: -40.1 eV for the cell shown
spin magnetization: 4.0 μB per formula unit
symmetry: C2/m
raw formation energy: -0.961 eV per atom

a b c (Å): 8.131 8.131 6.866
angles (deg): 94.19 94.19 87.75
Positions (direct):
1 Pu 0.000 0.000 0.000
2 Cd 0.234 0.234 0.651
3 Cd 0.766 0.766 0.349
4 Br 0.076 0.729 0.227
5 Br 0.204 0.204 0.252
6 Br 0.271 0.924 0.773
7 Br 0.446 0.446 0.747
8 Br 0.554 0.554 0.253
9 Br 0.729 0.076 0.227
10 Br 0.796 0.796 0.748
11 Br 0.924 0.271 0.773


DFT (PBE) results for a relaxed PuCdBr6 crystal.

Calculated values
energy above the most stable polymorph in this dataset: 0 meV per atom
final energy: -33.9 eV for the cell shown
spin magnetization: 4.0 μB per formula unit
symmetry: C2/m
raw formation energy: -1.079 eV per atom

a b c (Å): 7.391 7.391 6.959
angles (deg): 99.09 99.09 123.81
Positions (direct):
1 Pu 0.000 0.000 0.000
2 Cd 0.500 0.500 0.500
3 Br 0.105 0.402 0.254
4 Br 0.240 0.240 0.761
5 Br 0.402 0.105 0.254
6 Br 0.598 0.895 0.746
7 Br 0.760 0.760 0.239
8 Br 0.895 0.598 0.746


DFT (PBE) results for a relaxed PuCdBr6 crystal.

Calculated values
energy above the most stable polymorph in this dataset: 12 meV per atom
final energy: -33.8 eV for the cell shown
spin magnetization: 4.0 μB per formula unit
symmetry: R-3
raw formation energy: -1.067 eV per atom

a b c (Å): 7.560 7.560 7.560
angles (deg): 54.89 54.89 54.89
Positions (direct):
1 Pu 0.000 0.000 0.000
2 Cd 0.500 0.500 0.500
3 Br 0.088 0.406 0.756
4 Br 0.244 0.912 0.594
5 Br 0.406 0.756 0.088
6 Br 0.594 0.244 0.912
7 Br 0.756 0.088 0.406
8 Br 0.912 0.594 0.244


DFT (PBE) results for a relaxed RbPuCdBr6 crystal.

Calculated values
final energy: -76.9 eV for the cell shown
spin magnetization: 5.0 μB per formula unit
symmetry: P-31c
raw formation energy: -1.357 eV per atom

a b c (Å): 7.462 7.462 15.048
angles (deg): 90.00 90.00 120.00
Positions (direct):
1 Rb 0.000 0.000 0.000
2 Rb 0.000 0.000 0.500
3 Pu 0.333 0.667 0.250
4 Pu 0.667 0.333 0.750
5 Cd 0.333 0.667 0.750
6 Cd 0.667 0.333 0.250
7 Br 0.007 0.377 0.642
8 Br 0.007 0.630 0.858
9 Br 0.370 0.377 0.858
10 Br 0.370 0.993 0.642
11 Br 0.377 0.007 0.142
12 Br 0.377 0.370 0.358
13 Br 0.623 0.630 0.642
14 Br 0.623 0.993 0.858
15 Br 0.630 0.007 0.358
16 Br 0.630 0.623 0.142
17 Br 0.993 0.370 0.142
18 Br 0.993 0.623 0.358


DFT (PBE) results for a relaxed Rb3PuCd2Br9 crystal.

Calculated values
final energy: -54.1 eV for the cell shown
spin magnetization: 5.5 μB per formula unit
symmetry: P-3m1
raw formation energy: -1.329 eV per atom

a b c (Å): 8.068 8.068 9.975
angles (deg): 90.00 90.00 120.00
Positions (direct):
1 Rb 0.000 0.000 0.000
2 Rb 0.333 0.667 0.704
3 Rb 0.667 0.333 0.296
4 Pu 0.000 0.000 0.500
5 Cd 0.333 0.667 0.158
6 Cd 0.667 0.333 0.842
7 Br 0.000 0.500 0.000
8 Br 0.168 0.336 0.330
9 Br 0.168 0.832 0.330
10 Br 0.336 0.168 0.670
11 Br 0.500 0.000 0.000
12 Br 0.500 0.500 0.000
13 Br 0.664 0.832 0.330
14 Br 0.832 0.168 0.670
15 Br 0.832 0.664 0.670